Tb9Dy4Er11 after structural relaxation, computed with PBE-GGA.

As for the density of states at the Fermi level: 29.42 states/eV/cell. The formation energy comes out at 0.0485 eV/atom. Its symmetry is No. 65.

a = 14.966 Å, b = 14.966 Å, c = 3.646 Å
α = 90.00°, β = 90.00°, γ = 112.96°
Fractional positions:
1 Tb 0.000 0.000 0.000
2 Tb 0.132 0.663 0.000
3 Tb 0.286 0.432 0.000
4 Tb 0.337 0.868 0.000
5 Tb 0.432 0.286 0.000
6 Tb 0.568 0.714 0.000
7 Tb 0.663 0.132 0.000
8 Tb 0.714 0.568 0.000
9 Tb 0.868 0.337 0.000
10 Dy 0.054 0.256 0.000
11 Dy 0.256 0.054 0.000
12 Dy 0.744 0.946 0.000
13 Dy 0.946 0.744 0.000
14 Er 0.093 0.455 0.500
15 Er 0.133 0.867 0.500
16 Er 0.209 0.209 0.500
17 Er 0.340 0.660 0.500
18 Er 0.455 0.093 0.500
19 Er 0.500 0.500 0.500
20 Er 0.545 0.907 0.500
21 Er 0.660 0.340 0.500
22 Er 0.791 0.791 0.500
23 Er 0.867 0.133 0.500
24 Er 0.907 0.545 0.500

UCrC2 after structural relaxation, computed with PBE-GGA.

As for the density of states at the Fermi level: 19.36 states/eV/cell. The formation energy comes out at 0.0692 eV/atom. Its symmetry is No. 62.

a = 5.246 Å, b = 3.729 Å, c = 10.395 Å
α = 90.00°, β = 90.00°, γ = 90.00°
Fractional positions:
1 U 0.105 0.250 0.144
2 U 0.395 0.750 0.644
3 U 0.605 0.250 0.356
4 U 0.895 0.750 0.856
5 Cr 0.099 0.750 0.430
6 Cr 0.401 0.250 0.930
7 Cr 0.599 0.750 0.070
8 Cr 0.901 0.250 0.570
9 C 0.100 0.250 0.376
10 C 0.245 0.750 0.001
11 C 0.255 0.250 0.501
12 C 0.400 0.750 0.876
13 C 0.600 0.250 0.124
14 C 0.745 0.750 0.499
15 C 0.755 0.250 0.999
16 C 0.900 0.750 0.624

Ba4TcAs after structural relaxation, computed with PBE-GGA.

As for the density of states at the Fermi level: 5.47 states/eV/cell. The formation energy comes out at 0.9438 eV/atom. Its symmetry is No. 216.

a = 6.973 Å, b = 6.973 Å, c = 6.973 Å
α = 60.00°, β = 60.00°, γ = 60.00°
Fractional positions:
1 Ba 0.125 0.125 0.125
2 Ba 0.125 0.125 0.624
3 Ba 0.125 0.624 0.125
4 Ba 0.624 0.125 0.125
5 Tc 0.750 0.750 0.750
6 As 0.500 0.500 0.500

PmMg2Al9 after structural relaxation, computed with PBE-GGA.

As for the density of states at the Fermi level: 5.76 states/eV/cell. The formation energy comes out at -0.1192 eV/atom. Its symmetry is No. 166.

a = 9.413 Å, b = 9.413 Å, c = 9.413 Å
α = 33.84°, β = 33.84°, γ = 33.84°
Fractional positions:
1 Pm 0.000 0.000 0.000
2 Mg 0.144 0.144 0.144
3 Mg 0.856 0.856 0.856
4 Al 0.080 0.586 0.586
5 Al 0.335 0.335 0.335
6 Al 0.414 0.414 0.920
7 Al 0.414 0.920 0.414
8 Al 0.500 0.500 0.500
9 Al 0.586 0.080 0.586
10 Al 0.586 0.586 0.080
11 Al 0.665 0.665 0.665
12 Al 0.920 0.414 0.414

AcDy4Er10 after structural relaxation, computed with PBE-GGA.

As for the density of states at the Fermi level: 29.71 states/eV/cell. The formation energy comes out at 0.5408 eV/atom. Its symmetry is No. 87.

a = 9.604 Å, b = 9.604 Å, c = 9.604 Å
α = 96.62°, β = 96.62°, γ = 140.30°
Fractional positions:
1 Ac 0.000 0.000 0.000
2 Dy 0.323 0.432 0.756
3 Dy 0.432 0.677 0.109
4 Dy 0.568 0.323 0.891
5 Dy 0.677 0.568 0.244
6 Er 0.041 0.621 0.162
7 Er 0.120 0.959 0.579
8 Er 0.250 0.750 0.500
9 Er 0.379 0.541 0.421
10 Er 0.459 0.880 0.838
11 Er 0.541 0.120 0.162
12 Er 0.621 0.459 0.579
13 Er 0.750 0.250 0.500
14 Er 0.880 0.041 0.421
15 Er 0.959 0.379 0.838

MnAgHg after structural relaxation, computed with PBE-GGA.

As for the density of states at the Fermi level: 0.96 states/eV/cell. For the excess energy over the best structure of this formula in the dataset, the calculation gives 0.000 eV/atom. The formation energy comes out at 0.2348 eV/atom. Its symmetry is No. 107.

a = 5.155 Å, b = 5.155 Å, c = 5.155 Å
α = 140.37°, β = 140.37°, γ = 57.29°
Fractional positions:
1 Mn 0.000 0.000 0.000
2 Ag 0.342 0.342 0.000
3 Hg 0.667 0.667 0.000

PmY2Pd after structural relaxation, computed with PBE-GGA.

As for the density of states at the Fermi level: 10.37 states/eV/cell. For the excess energy over the best structure of this formula in the dataset, the calculation gives 0.020 eV/atom. The formation energy comes out at -0.4344 eV/atom. Its symmetry is No. 11.

a = 3.770 Å, b = 9.432 Å, c = 6.580 Å
α = 90.00°, β = 106.61°, γ = 90.00°
Fractional positions:
1 Pm 0.063 0.250 0.126
2 Pm 0.937 0.750 0.874
3 Y 0.364 0.061 0.728
4 Y 0.364 0.439 0.728
5 Y 0.636 0.561 0.272
6 Y 0.636 0.939 0.272
7 Pd 0.239 0.750 0.479
8 Pd 0.761 0.250 0.521

Cd2TeCl after structural relaxation, computed with PBE-GGA.

As for the density of states at the Fermi level: 1.32 states/eV/cell. For the excess energy over the best structure of this formula in the dataset, the calculation gives 0.165 eV/atom. The formation energy without anion corrections comes out at -0.302 eV per atom. Its symmetry is No. 8.

a = 6.084 Å, b = 6.084 Å, c = 7.138 Å
α = 118.05°, β = 118.05°, γ = 30.85°
Fractional positions:
1 Cd 0.000 0.000 0.000
2 Cd 0.732 0.732 0.279
3 Te 0.471 0.471 0.595
4 Cl 0.314 0.314 0.984